Record 1
# DyMgBi2 | Alexandria | GGA-PBE | relaxed
data_DyMgBi2
_chemical_formula_sum 'Dy4 Mg4 Bi8'
_symmetry_space_group_name_H-M 'P 1'
_symmetry_Int_Tables_number 1
_symmetry_space_group_name_Hall 'P 1'
_cell_length_a 6.236
_cell_length_b 6.258
_cell_length_c 12.653
_cell_angle_alpha 90.15
_cell_angle_beta 90.05
_cell_angle_gamma 88.96
loop_
_atom_site_label
_atom_site_type_symbol
_atom_site_fract_x
_atom_site_fract_y
_atom_site_fract_z
_atom_site_occupancy
Dy1 Dy 0.250 0.750 0.525 1
Dy2 Dy 0.750 0.250 0.975 1
Dy3 Dy 0.750 0.250 0.475 1
Dy4 Dy 0.250 0.750 0.025 1
Mg1 Mg 0.249 0.249 0.755 1
Mg2 Mg 0.751 0.749 0.745 1
Mg3 Mg 0.751 0.751 0.245 1
Mg4 Mg 0.249 0.251 0.255 1
Bi1 Bi 0.250 0.250 0.504 1
Bi2 Bi 0.750 0.750 0.996 1
Bi3 Bi 0.750 0.750 0.496 1
Bi4 Bi 0.250 0.250 0.004 1
Bi5 Bi 0.251 0.749 0.772 1
Bi6 Bi 0.749 0.250 0.728 1
Bi7 Bi 0.749 0.251 0.228 1
Bi8 Bi 0.251 0.750 0.272 1
# Symmetry   P-1 (2)
# DFT formation energy   -0.386 eV/atom
# Relative energy among the computed polymorphs   67 meV per atom
# Magnetization   0.00 μB/cell

Record 2
# DyMgBi2 | Alexandria | GGA-PBE | relaxed
data_DyMgBi2
_chemical_formula_sum 'Dy1 Mg1 Bi2'
_symmetry_space_group_name_H-M 'P 1'
_symmetry_Int_Tables_number 1
_symmetry_space_group_name_Hall 'P 1'
_cell_length_a 4.565
_cell_length_b 4.565
_cell_length_c 7.396
_cell_angle_alpha 72.02
_cell_angle_beta 72.02
_cell_angle_gamma 60.00
loop_
_atom_site_label
_atom_site_type_symbol
_atom_site_fract_x
_atom_site_fract_y
_atom_site_fract_z
_atom_site_occupancy
Dy1 Dy 0.668 0.668 0.996 1
Mg1 Mg 0.497 0.497 0.508 1
Bi1 Bi 0.085 0.085 0.745 1
Bi2 Bi 0.250 0.250 0.250 1
# Symmetry   R3m (160)
# DFT formation energy   -0.395 eV/atom
# Relative energy among the computed polymorphs   59 meV per atom
# Magnetization   0.00 μB/cell

Record 3
# DyMgBi2 | Alexandria | GGA-PBE | relaxed
data_DyMgBi2
_chemical_formula_sum 'Dy1 Mg1 Bi2'
_symmetry_space_group_name_H-M 'P 1'
_symmetry_Int_Tables_number 1
_symmetry_space_group_name_Hall 'P 1'
_cell_length_a 4.453
_cell_length_b 4.453
_cell_length_c 7.579
_cell_angle_alpha 72.92
_cell_angle_beta 72.92
_cell_angle_gamma 60.00
loop_
_atom_site_label
_atom_site_type_symbol
_atom_site_fract_x
_atom_site_fract_y
_atom_site_fract_z
_atom_site_occupancy
Mg1 Mg 0.000 0.000 0.000 1
Bi1 Bi 0.254 0.254 0.239 1
Bi2 Bi 0.746 0.746 0.761 1
Dy1 Dy 0.500 0.500 0.500 1
# Symmetry   R-3m (166)
# DFT formation energy   -0.380 eV/atom
# Relative energy among the computed polymorphs   74 meV per atom
# Magnetization   0.00 μB/cell

Record 4
# DyMgBi2 | Alexandria | GGA-PBE | relaxed
data_DyMgBi2
_chemical_formula_sum 'Dy1 Mg1 Bi2'
_symmetry_space_group_name_H-M 'P 1'
_symmetry_Int_Tables_number 1
_symmetry_space_group_name_Hall 'P 1'
_cell_length_a 5.439
_cell_length_b 5.439
_cell_length_c 5.439
_cell_angle_alpha 60.00
_cell_angle_beta 60.00
_cell_angle_gamma 60.00
loop_
_atom_site_label
_atom_site_type_symbol
_atom_site_fract_x
_atom_site_fract_y
_atom_site_fract_z
_atom_site_occupancy
Mg1 Mg 0.000 0.000 0.000 1
Bi1 Bi 0.250 0.250 0.250 1
Bi2 Bi 0.750 0.750 0.750 1
Dy1 Dy 0.500 0.500 0.500 1
# Symmetry   Fm-3m (225)
# DFT formation energy   -0.299 eV/atom
# Relative energy among the computed polymorphs   155 meV per atom
# Magnetization   0.00 μB/cell

Number 1: D(E_F) 11.49 states/eV/cell. Number 2: D(E_F) 1.90 states/eV/cell. Number 3: D(E_F) 2.76 states/eV/cell. Number 4: D(E_F) 2.81 states/eV/cell.